#1
The following is a PBE-GGA calculation of a relaxed structure of La2Pm5Sm4, from the Alexandria database.

Cell lengths 3.500, 8.988, 12.378 Å; angles 96.59, 98.13, 90.00 degrees
Fractional positions:
Sm 0.679 0.471 0.357
Pm 0.232 0.825 0.465
Pm 0.768 0.175 0.535
Sm 0.953 0.638 0.906
Pm 0.859 0.881 0.718
Sm 0.047 0.362 0.094
Pm 0.141 0.119 0.282
La 0.090 0.733 0.180
Pm 0.500 0.000 0.000
Sm 0.321 0.529 0.643
La 0.910 0.267 0.820

Total moment   0.00 μB/f.u.
Symmetry   No. 12

#2
The following is a PBE-GGA calculation of a relaxed structure of La2Pm5Sm4, from the Alexandria database.

Cell lengths 7.528, 6.789, 10.201 Å; angles 64.23, 68.35, 56.33 degrees
Fractional positions:
La 0.142 0.845 0.872
Pm 0.782 0.632 0.235
Sm 0.329 0.223 0.120
Pm 0.352 0.632 0.235
Pm 0.000 0.500 0.500
La 0.858 0.155 0.128
Sm 0.308 0.890 0.495
Sm 0.671 0.777 0.880
Pm 0.648 0.368 0.765
Sm 0.692 0.110 0.505
Pm 0.218 0.368 0.765

Total moment   0.00 μB/f.u.
Symmetry   No. 12

#2 is favored, and the nearest alternative lies 0.007 eV/atom above it.

#1
The following is a PBE-GGA calculation of a relaxed structure of LaPm8Sm2, from the Alexandria database.

Cell lengths 5.704, 10.390, 10.390 Å; angles 40.15, 93.26, 93.26 degrees
Fractional positions:
Pm 0.768 0.812 0.812
Pm 0.732 0.400 0.864
La 0.000 0.000 0.000
Pm 0.761 0.455 0.455
Sm 0.255 0.716 0.716
Pm 0.732 0.864 0.400
Sm 0.745 0.284 0.284
Pm 0.239 0.545 0.545
Pm 0.232 0.188 0.188
Pm 0.268 0.136 0.600
Pm 0.268 0.600 0.136

Total moment   0.00 μB/f.u.
Symmetry   No. 12

#2
The following is a PBE-GGA calculation of a relaxed structure of LaPm8Sm2, from the Alexandria database.

Cell lengths 5.691, 8.382, 9.529 Å; angles 116.09, 107.37, 90.00 degrees
Fractional positions:
Pm 0.000 0.295 0.000
Pm 0.361 0.565 0.721
La 0.500 0.000 0.000
Pm 0.839 0.839 0.678
Pm 0.361 0.156 0.721
Sm 0.800 0.300 0.600
Pm 0.000 0.705 0.000
Pm 0.639 0.844 0.279
Sm 0.200 0.700 0.400
Pm 0.161 0.161 0.322
Pm 0.639 0.435 0.279

Total moment   0.00 μB/f.u.
Symmetry   No. 71

#2 is favored, and the nearest alternative lies 0.033 eV/atom above it.